Computed, not measured: a relaxed Th5Sb4P crystal at the GGA-PBE level of DFT.

Summary:
- Final energy: -137.76 eV/cell
- Formation energy without anion corrections: -988 meV per atom

CIF file:
```
data_Th5Sb4P
_symmetry_space_group_name_H-M 'I 4/m m m'
_symmetry_Int_Tables_number 139
_symmetry_space_group_name_Hall '-I 4 2'
_cell_length_a 4.430
_cell_length_b 4.430
_cell_length_c 31.488
_cell_angle_alpha 90.00
_cell_angle_beta 90.00
_cell_angle_gamma 90.00
loop_
_atom_site_label
_atom_site_fract_x
_atom_site_fract_y
_atom_site_fract_z
_atom_site_occupancy
Th1 0.000 0.000 0.000 1
Th2 0.000 0.000 0.204 1
Th3 0.000 0.000 0.410 1
Sb1 0.000 0.000 0.102 1
Sb2 0.000 0.000 0.306 1
P1 0.000 0.000 0.500 1
```

=====

Computed, not measured: a relaxed SmDy2Tm2Mg2 crystal at the GGA-PBE level of DFT.

Summary:
- Final energy: -78.80 eV/cell
- Formation energy: -30 meV/atom

CIF file:
```
data_SmDy2Tm2Mg2
_symmetry_space_group_name_H-M 'R -3 m'
_symmetry_Int_Tables_number 166
_symmetry_space_group_name_Hall '-R 3 2"'
_cell_length_a 5.4298
_cell_length_b 5.4298
_cell_length_c 23.9217
_cell_angle_alpha 90.00
_cell_angle_beta 90.00
_cell_angle_gamma 120.00
loop_
_atom_site_label
_atom_site_fract_x
_atom_site_fract_y
_atom_site_fract_z
_atom_site_occupancy
Sm1 0.0000 0.0000 0.0000 1
Dy1 0.0000 0.0000 0.4279 1
Tm1 0.0000 0.0000 0.1551 1
Mg1 0.0000 0.0000 0.2888 1
```

=====

Computed, not measured: a relaxed La4Pr crystal at the GGA-PBE level of DFT.

Summary:
- Final energy: -48.89 eV/cell
- Energy above the lowest structure with this stoichiometry: 0.000 eV/atom
- Formation energy: 9 meV/atom

CIF file:
```
data_La4Pr
_symmetry_space_group_name_H-M 'I 4/m'
_symmetry_Int_Tables_number 87
_symmetry_space_group_name_Hall '-I 4'
_cell_length_a 8.324
_cell_length_b 8.324
_cell_length_c 5.254
_cell_angle_alpha 90.00
_cell_angle_beta 90.00
_cell_angle_gamma 90.00
loop_
_atom_site_label
_atom_site_fract_x
_atom_site_fract_y
_atom_site_fract_z
_atom_site_occupancy
La1 0.099 0.301 0.000 1
Pr1 0.000 0.000 0.500 1
```

=====

Computed, not measured: a relaxed As7Se crystal at the GGA-PBE level of DFT.

Summary:
- Final energy: -126.12 eV/cell
- Formation energy without anion corrections: 563 meV per atom

CIF file:
```
data_As7Se
_symmetry_space_group_name_H-M 'F m -3 m'
_symmetry_Int_Tables_number 225
_symmetry_space_group_name_Hall '-F 4 2 3'
_cell_length_a 8.532
_cell_length_b 8.532
_cell_length_c 8.532
_cell_angle_alpha 90.00
_cell_angle_beta 90.00
_cell_angle_gamma 90.00
loop_
_atom_site_label
_atom_site_fract_x
_atom_site_fract_y
_atom_site_fract_z
_atom_site_occupancy
As1 0.000 0.000 0.000 1
As2 0.000 0.250 0.250 1
Se1 0.000 0.000 0.500 1
```

=====

Computed, not measured: a relaxed Sm12DyY7 crystal at the GGA-PBE level of DFT.

Summary:
- Final energy: -301.64 eV/cell
- Energy above the lowest structure with this stoichiometry: 0.061 eV/atom
- Formation energy: 297 meV/atom

CIF file:
```
data_Sm12DyY7
_symmetry_space_group_name_H-M 'R -3'
_symmetry_Int_Tables_number 148
_symmetry_space_group_name_Hall '-R 3'
_cell_length_a 18.7784
_cell_length_b 18.7784
_cell_length_c 6.7811
_cell_angle_alpha 90.00
_cell_angle_beta 90.00
_cell_angle_gamma 120.00
loop_
_atom_site_label
_atom_site_fract_x
_atom_site_fract_y
_atom_site_fract_z
_atom_site_occupancy
Sm1 0.0005 0.2124 0.2787 1
Sm2 0.0051 0.5341 0.7433 1
Dy1 0.0000 0.0000 0.0000 1
Y1 0.0000 0.0000 0.5000 1
Y2 0.0059 0.1548 0.7738 1
```

=====

Computed, not measured: a relaxed YFeRu crystal at the GGA-PBE level of DFT.

Summary:
- Final energy: -84.29 eV/cell
- Formation energy: 1043 meV/atom

CIF file:
```
data_YFeRu
_symmetry_space_group_name_H-M 'F -4 3 m'
_symmetry_Int_Tables_number 216
_symmetry_space_group_name_Hall 'F -4 2 3'
_cell_length_a 6.307
_cell_length_b 6.307
_cell_length_c 6.307
_cell_angle_alpha 90.00
_cell_angle_beta 90.00
_cell_angle_gamma 90.00
loop_
_atom_site_label
_atom_site_fract_x
_atom_site_fract_y
_atom_site_fract_z
_atom_site_occupancy
Y1 0.000 0.000 0.000 1
Fe1 0.250 0.250 0.250 1
Ru1 0.250 0.250 0.750 1
```

=====

Computed, not measured: a relaxed Sm2Er3Ag2 crystal at the GGA-PBE level of DFT.

Summary:
- Final energy: -59.13 eV/cell
- Formation energy: -105 meV/atom

CIF file:
```
data_Sm2Er3Ag2
_symmetry_space_group_name_H-M 'C 1 2/m 1'
_symmetry_Int_Tables_number 12
_cell_length_a 9.297
_cell_length_b 5.371
_cell_length_c 8.326
_cell_angle_alpha 90.00
_cell_angle_beta 111.89
_cell_angle_gamma 90.00
loop_
_symmetry_equiv_pos_as_xyz
'x,y,z'
'-x,-y,-z'
'-x,y,-z'
'x,-y,z'
'x+1/2,y+1/2,z'
'-x+1/2,-y+1/2,-z'
'-x+1/2,y+1/2,-z'
'x+1/2,-y+1/2,z'
loop_
_atom_site_label
_atom_site_fract_x
_atom_site_fract_y
_atom_site_fract_z
_atom_site_occupancy
Sm1 0.076 0.000 0.227 1
Er1 0.000 0.500 0.500 1
Er2 0.161 0.500 0.982 1
Ag1 0.212 0.000 0.639 1
```

=====

Computed, not measured: a relaxed Be2Ga2Ni crystal at the GGA-PBE level of DFT.

Summary:
- Final energy: -37.56 eV/cell
- Formation energy: 102 meV/atom

CIF file:
```
data_Be2Ga2Ni
_symmetry_space_group_name_H-M 'P 4/m b m'
_symmetry_Int_Tables_number 127
_symmetry_space_group_name_Hall '-P 4 2ab'
_cell_length_a 5.852
_cell_length_b 5.852
_cell_length_c 3.520
_cell_angle_alpha 90.00
_cell_angle_beta 90.00
_cell_angle_gamma 90.00
loop_
_atom_site_label
_atom_site_fract_x
_atom_site_fract_y
_atom_site_fract_z
_atom_site_occupancy
Be1 0.134 0.366 0.000 1
Ga1 0.170 0.670 0.500 1
Ni1 0.000 0.000 0.000 1
```

=====

Computed, not measured: a relaxed Ag2MoPd2 crystal at the GGA-PBE level of DFT.

Summary:
- Final energy: -48.15 eV/cell
- Energy above the lowest structure with this stoichiometry: 0.090 eV/atom
- Formation energy: 568 meV/atom

CIF file:
```
data_Ag2MoPd2
_symmetry_space_group_name_H-M 'I 4/m m m'
_symmetry_Int_Tables_number 139
_symmetry_space_group_name_Hall '-I 4 2'
_cell_length_a 3.639
_cell_length_b 3.639
_cell_length_c 13.794
_cell_angle_alpha 90.00
_cell_angle_beta 90.00
_cell_angle_gamma 90.00
loop_
_atom_site_label
_atom_site_fract_x
_atom_site_fract_y
_atom_site_fract_z
_atom_site_occupancy
Ag1 0.000 0.500 0.250 1
Mo1 0.000 0.000 0.000 1
Pd1 0.000 0.000 0.407 1
```

=====

Computed, not measured: a relaxed Ta2BeIr crystal at the GGA-PBE level of DFT.

Summary:
- Final energy: -137.44 eV/cell
- Formation energy: 483 meV/atom

CIF file:
```
data_Ta2BeIr
_symmetry_space_group_name_H-M 'I -4 2 d'
_symmetry_Int_Tables_number 122
_symmetry_space_group_name_Hall 'I -4 2bw'
_cell_length_a 3.889
_cell_length_b 3.889
_cell_length_c 17.757
_cell_angle_alpha 90.00
_cell_angle_beta 90.00
_cell_angle_gamma 90.00
loop_
_atom_site_label
_atom_site_fract_x
_atom_site_fract_y
_atom_site_fract_z
_atom_site_occupancy
Ta1 0.237 0.250 0.125 1
Be1 0.000 0.000 0.000 1
Ir1 0.000 0.000 0.500 1
```

=====

Computed, not measured: a relaxed PPtCl2 crystal at the GGA-PBE level of DFT.

Summary:
- Final energy: -51.43 eV/cell
- Energy above the lowest structure with this stoichiometry: 1.147 eV/atom
- Formation energy without anion corrections: 572 meV per atom

CIF file:
```
data_PPtCl2
_symmetry_space_group_name_H-M 'I -4 2 d'
_symmetry_Int_Tables_number 122
_symmetry_space_group_name_Hall 'I -4 2bw'
_cell_length_a 4.247
_cell_length_b 4.247
_cell_length_c 16.752
_cell_angle_alpha 90.00
_cell_angle_beta 90.00
_cell_angle_gamma 90.00
loop_
_atom_site_label
_atom_site_fract_x
_atom_site_fract_y
_atom_site_fract_z
_atom_site_occupancy
P1 0.000 0.000 0.000 1
Pt1 0.000 0.000 0.500 1
Cl1 0.247 0.250 0.625 1
```

=====

Computed, not measured: a relaxed KFeRu3 crystal at the GGA-PBE level of DFT.

Summary:
- Final energy: -20.67 eV/cell
- Energy above the lowest structure with this stoichiometry: 1.905 eV/atom
- Formation energy: 3344 meV/atom

CIF file:
```
data_KFeRu3
_symmetry_space_group_name_H-M 'P m -3 m'
_symmetry_Int_Tables_number 221
_symmetry_space_group_name_Hall '-P 4 2 3'
_cell_length_a 4.472
_cell_length_b 4.472
_cell_length_c 4.472
_cell_angle_alpha 90.00
_cell_angle_beta 90.00
_cell_angle_gamma 90.00
loop_
_atom_site_label
_atom_site_fract_x
_atom_site_fract_y
_atom_site_fract_z
_atom_site_occupancy
K1 0.000 0.000 0.000 1
Fe1 0.500 0.500 0.500 1
Ru1 0.000 0.000 0.500 1
```

=====

Size of the total moment list, top to bottom, in μB per atom: 0.000, 0.000, 0.000, 0.000, 0.000, 1.082, 0.000, 0.000, 0.476, 0.000, 0.000, 0.006
V list, top to bottom, in Å³/cell: 618.0, 610.8, 364.1, 621.1, 2070.8, 250.9, 385.8, 120.6, 182.7, 268.6, 302.1, 89.4
Density of states at the Fermi level list, top to bottom, in states/eV/cell: 13.94, 23.75, 20.29, 14.65, 80.14, 12.05, 12.98, 4.19, 6.92, 25.72, 9.09, 10.28